# LaDyErCd PBE optimized geometry
data_LaDyErCd
_space_group_name_H-M_alt 'F -4 3 m'
_space_group_IT_number 216
_space_group_name_Hall 'F -4 2 3'
_cell_length_a 7.8271
_cell_length_b 7.8271
_cell_length_c 7.8271
_cell_angle_alpha 90.00
_cell_angle_beta 90.00
_cell_angle_gamma 90.00
loop_
_atom_site_label
_atom_site_type_symbol
_atom_site_fract_x
_atom_site_fract_y
_atom_site_fract_z
_atom_site_occupancy
La1 La 0.0000 0.0000 0.0000 1
Dy1 Dy 0.0000 0.0000 0.5000 1
Er1 Er 0.2500 0.2500 0.2500 1
Cd1 Cd 0.2500 0.2500 0.7500 1
# ΔE_f = -0.04 eV/atom
# mass density = 8.0 g cm⁻³